VASP calculation (meta-GGA SCAN) on a PBEsol-optimized structure of CaNi2Te.

* E_form (uncorrected): -0.3621 eV/atom
* SG: R-3m, No. 166
* total moment: 0.0 μB/cell

Unit cell a=4.2610 b=4.2610 c=14.3743 alpha=90.00 beta=90.00 gamma=120.00
With the nearest neighbours (Å) after each atom.
Element x y z (fractional)
Ca  0.0000  0.0000  0.0000  2 Ni 2.81
Ca  0.3333  0.6667  0.6667  2 Ni 2.81
Ca  0.6667  0.3333  0.3333  2 Ni 2.81
Ni  0.0000  0.0000  0.1953  3 Te 2.49, 3 Ni 2.59
Ni  0.0000  0.0000  0.8047  3 Te 2.49, 3 Ni 2.59
Ni  0.3333  0.6667  0.4714  3 Te 2.49, 3 Ni 2.59
Ni  0.3333  0.6667  0.8619  3 Te 2.49, 3 Ni 2.59
Ni  0.6667  0.3333  0.1381  3 Te 2.49, 3 Ni 2.59
Ni  0.6667  0.3333  0.5286  3 Te 2.49, 3 Ni 2.59
Te  0.0000  0.0000  0.5000  6 Ni 2.49
Te  0.3333  0.6667  0.1667  6 Ni 2.49
Te  0.6667  0.3333  0.8333  6 Ni 2.49

---

VASP calculation (meta-GGA SCAN) on a PBEsol-optimized structure of TaFeAs.

* ΔE_f: -0.3495 eV/atom
* SG: Pnma, No. 62
* total moment: 0.0 μB/cell

Unit cell a=6.2259 b=3.7118 c=7.0248 alpha=90.00 beta=90.00 gamma=90.00
With the nearest neighbours (Å) after each atom.
Element x y z (fractional)
Ta  0.0204  0.2500  0.1793  5 As 2.63-2.66, 6 Fe 2.78-2.92
Ta  0.4796  0.7500  0.6793  5 As 2.63-2.66, 6 Fe 2.78-2.92
Ta  0.5204  0.2500  0.3207  5 As 2.63-2.66, 6 Fe 2.78-2.92
Ta  0.9796  0.7500  0.8207  5 As 2.63-2.66, 6 Fe 2.78-2.92
Fe  0.1419  0.2500  0.5632  4 As 2.32-2.37
Fe  0.3581  0.7500  0.0632  4 As 2.32-2.37
Fe  0.6419  0.2500  0.9368  4 As 2.32-2.37
Fe  0.8581  0.7500  0.4368  4 As 2.32-2.37
As  0.2262  0.7500  0.3803  4 Fe 2.32-2.37
As  0.2738  0.2500  0.8803  4 Fe 2.32-2.37
As  0.7262  0.7500  0.1197  4 Fe 2.32-2.37
As  0.7738  0.2500  0.6197  4 Fe 2.32-2.37

---

VASP calculation (meta-GGA SCAN) on a PBEsol-optimized structure of KMnNi.

* ΔE_f: 0.4114 eV/atom
* SG: I4mm, No. 107
* total moment: 9.2 μB/cell
* offset from the most stable computed form: 0.000 eV per atom

Unit cell a=3.2331 b=3.2331 c=12.0197 alpha=90.00 beta=90.00 gamma=90.00
With the nearest neighbours (Å) after each atom.
Element x y z (fractional)
K  0.0000  0.0000  0.0000  1 Mn 3.21, 4 K 3.23, 5 Ni 3.37-3.49
K  0.5000  0.5000  0.5000  1 Mn 3.21, 4 K 3.23, 5 Ni 3.37-3.49
Mn  0.0000  0.0000  0.7328  4 Ni 2.36
Mn  0.5000  0.5000  0.2328  4 Ni 2.36
Ni  0.0000  0.0000  0.2804  4 Mn 2.36
Ni  0.5000  0.5000  0.7804  4 Mn 2.36

---

VASP calculation (meta-GGA SCAN) on a PBEsol-optimized structure of BaYCl3.

* E_form (uncorrected): -1.9011 eV/atom
* SG: Pm-3m, No. 221
* total moment: 0.0 μB/cell

Unit cell a=5.1966 b=5.1966 c=5.1966 alpha=90.00 beta=90.00 gamma=90.00
With the nearest neighbours (Å) after each atom.
Element x y z (fractional)
Ba  0.0000  0.0000  0.0000  12 Cl 3.67
Y  0.5000  0.5000  0.5000  6 Cl 2.60
Cl  0.0000  0.5000  0.5000  2 Y 2.60
Cl  0.5000  0.0000  0.5000  2 Y 2.60
Cl  0.5000  0.5000  0.0000  2 Y 2.60

---

VASP calculation (meta-GGA SCAN) on a PBEsol-optimized structure of SiSb4W.

* E_form (uncorrected): 1.5196 eV/atom
* SG: F-43m, No. 216
* total moment: 2.9 μB/cell

Unit cell a=5.9235 b=5.9235 c=5.9235 alpha=60.00 beta=60.00 gamma=60.00
With the nearest neighbours (Å) after each atom.
Element x y z (fractional)
Si  0.0000  0.0000  0.0000  12 Sb 3.47, 4 W 3.63
Sb  0.1249  0.6250  0.6250  6 Sb 2.96
Sb  0.6250  0.1249  0.6250  6 Sb 2.96
Sb  0.6250  0.6250  0.1249  6 Sb 2.96
Sb  0.6250  0.6250  0.6250  6 Sb 2.96
W  0.2500  0.2500  0.2500  12 Sb 3.47, 4 Si 3.63

---

VASP calculation (meta-GGA SCAN) on a PBEsol-optimized structure of KAs2HPd.

* SG: P4/mmm, No. 123
* total moment: 0.2 μB/cell
* E: -16.582 eV/atom

Unit cell a=4.6212 b=4.6212 c=6.6292 alpha=90.00 beta=90.00 gamma=90.00
With the nearest neighbours (Å) after each atom.
Element x y z (fractional)
K  0.0000  0.0000  0.0000  4 H 3.27, 2 Pd 3.31
As  0.0000  0.5000  0.5000  2 Pd 2.31
As  0.5000  0.0000  0.5000  2 Pd 2.31
H  0.5000  0.5000  0.0000  4 K 3.27
Pd  0.0000  0.0000  0.5000  4 As 2.31

---

Number 4 is which compound? BaYCl3

---

Number 5 is which compound? SiSb4W